A plane-wave DFT calculation with PBE was carried out for Li2OsCl after structural relaxation.

Computed properties:
Formation energy (no corrections) = 0.59 eV/atom
Symmetry = I4/mmm, No. 139
Spin magnetization = 0.71 μB/f.u.
Theoretical density = 6.98 g cm⁻³
Energy above the most stable polymorph in this dataset = 903 meV per atom

Cell: 4.829 4.829 4.829 Å, 134.17 134.17 66.82°
Site moments in Bohr magnetons follow the coordinates.
Element x y z (fractional)
Li 0.000 0.000 0.000  -0.01
Li 0.500 0.500 0.000  -0.01
Os 0.250 0.750 0.500  0.65
Cl 0.750 0.250 0.500  0.01